(1)
VASP calculation (PBE) on a relaxed structure of ZrSc2Bi.

CIF file:
```
data_ZrSc2Bi
_chemical_formula_sum 'Zr1 Sc2 Bi1'
_symmetry_space_group_name_H-M 'P 4/m m m'
_symmetry_Int_Tables_number 123
_symmetry_space_group_name_Hall '-P 4 2'
_cell_length_a 4.633
_cell_length_b 4.633
_cell_length_c 4.351
_cell_angle_alpha 90.00
_cell_angle_beta 90.00
_cell_angle_gamma 90.00
loop_
_atom_site_label
_atom_site_type_symbol
_atom_site_fract_x
_atom_site_fract_y
_atom_site_fract_z
_atom_site_occupancy
Zr1 Zr 0.000 0.000 0.000 1
Sc1 Sc 0.000 0.500 0.500 1
Bi1 Bi 0.500 0.500 0.000 1
```

Computed properties:
* uncorrected energy: -6.54 eV/atom
* size of the total moment: 0.00 Bohr magnetons per cell
* DFT formation energy: -0.263 eV/atom

(2)
VASP calculation (PBE) on a relaxed structure of HoPaHg2.

CIF file:
```
data_HoPaHg2
_chemical_formula_sum 'Ho1 Pa1 Hg2'
_symmetry_space_group_name_H-M 'P 4/m m m'
_symmetry_Int_Tables_number 123
_symmetry_space_group_name_Hall '-P 4 2'
_cell_length_a 4.739
_cell_length_b 4.739
_cell_length_c 4.466
_cell_angle_alpha 90.00
_cell_angle_beta 90.00
_cell_angle_gamma 90.00
loop_
_atom_site_label
_atom_site_type_symbol
_atom_site_fract_x
_atom_site_fract_y
_atom_site_fract_z
_atom_site_occupancy
Ho1 Ho 0.000 0.000 0.000 1
Pa1 Pa 0.500 0.500 0.000 1
Hg1 Hg 0.000 0.500 0.500 1
```

Computed properties:
* uncorrected energy: -3.71 eV/atom
* size of the total moment: 1.58 Bohr magnetons per cell
* DFT formation energy: -0.039 eV/atom